A relaxed structure of Ho5ErSc4. Source: the Alexandria database, functional PBE.

Output
Excess energy over the best structure of this formula in the dataset = 0 meV/atom
Crystal system = monoclinic
Energy of formation = 49 kJ/mol of formula units
Mass density = 6.86 g/cm³

a = 3.393 Å, b = 10.899 Å, c = 8.272 Å
α = 71.76°, β = 101.84°, γ = 90.00°
Fractional positions:
Ho1 0.787 0.620 0.574
Sc1 0.397 0.796 0.794
Ho2 0.213 0.380 0.426
Sc2 0.081 0.709 0.161
Sc3 0.603 0.204 0.206
Sc4 0.919 0.291 0.839
Ho3 0.190 0.923 0.380
Ho4 0.500 0.500 0.000
Er1 0.500 0.000 0.000
Ho5 0.810 0.077 0.620